[1]
DFT (PBE) results for a relaxed RbCoIr3 crystal.

The structure belongs to space group Pm-3m (No. 221); the cell edges are 4.7843, 4.7843 and 4.7843 Å and the angles 90.00°, 90.00° and 90.00°. The inequivalent atoms are Rb at (0.0000, 0.0000, 0.0000), Co at (0.5000, 0.5000, 0.5000) and Ir at (0.0000, 0.0000, 0.5000).

The density is 10.933 g/cm3. The value obtained for the spin magnetization is 0.8 Bohr magnetons per cell. The value obtained for the energy relative to the lowest polymorph listed for this composition is 2214.4 meV/atom.

=====

[2]
DFT (PBE) results for a relaxed BaCa14Mg crystal.

The structure belongs to space group Amm2 (No. 38); the cell edges are 12.7796, 7.7450 and 13.5167 Å and the angles 90.00°, 90.00° and 90.00°. The inequivalent atoms are Ba at (0.0000, 0.0000, 0.0000), Ca at (0.0000, 0.2473, 0.2501), Ca at (0.2409, 0.0000, 0.6621), Ca at (0.2484, 0.2460, 0.4141), Ca at (0.2567, 0.0000, 0.1655), Ca at (0.5000, 0.0000, 0.4991), Ca at (0.5000, 0.0000, 0.9980), Ca at (0.5000, 0.2485, 0.7489) and Mg at (0.0000, 0.0000, 0.5012).

The density is 1.794 g/cm3. The calculation puts the total energy at -1.955 eV/atom. The value obtained for the spin magnetization is 0.0 Bohr magnetons per cell.

=====

[3]
DFT (PBE) results for a relaxed NaHfAl crystal.

The structure belongs to space group I4mm (No. 107); the cell edges are 3.0796, 3.0796 and 14.2587 Å and the angles 90.00°, 90.00° and 90.00°. The inequivalent atoms are Na at (0.0000, 0.0000, 0.0000), Hf at (0.0000, 0.0000, 0.3020) and Al at (0.0000, 0.0000, 0.6724).

The density is 5.611 g/cm3. The value obtained for the spin magnetization is 0.0 Bohr magnetons per cell. The value obtained for the energy relative to the lowest polymorph listed for this composition is 180.6 meV/atom.